Computed, not measured: KFe2Ag at its PBEsol-relaxed geometry at the meta-GGA SCAN level of DFT.

Output
DFT formation energy in meV per atom: 669

Cell lengths 2.752, 4.250, 7.229 Å; angles 95.75, 90.00, 108.89 degrees
Fractional coordinates of all 4 atoms:
Ag  0.729  0.458  0.169
Fe  0.993  0.986  0.954
Fe  0.277  0.554  0.865
K  0.501  0.002  0.512

---

Computed, not measured: KFeAg2 at its PBEsol-relaxed geometry at the meta-GGA SCAN level of DFT.

Output
DFT formation energy in meV per atom: 558

Cell lengths 2.920, 2.920, 10.136 Å; angles 81.72, 81.72, 60.00 degrees
Fractional coordinates of all 4 atoms:
Ag  0.237  0.237  0.288
Ag  0.763  0.763  0.712
Fe  0.500  0.500  0.500
K  0.000  0.000  0.000

---

Computed, not measured: K2FeAg at its PBEsol-relaxed geometry at the meta-GGA SCAN level of DFT.

Output
DFT formation energy in meV per atom: 589

Cell lengths 4.179, 5.607, 6.339 Å; angles 116.25, 109.24, 90.00 degrees
Fractional coordinates of all 4 atoms:
Ag  0.556  0.056  0.113
Fe  0.185  0.185  0.370
K  0.981  0.481  0.962
K  0.777  0.777  0.555

---

Computed, not measured: K2FeAg at its PBEsol-relaxed geometry at the meta-GGA SCAN level of DFT.

Output
DFT formation energy in meV per atom: 787

Cell lengths 3.095, 3.095, 10.524 Å; angles 90.00, 90.00, 90.00 degrees
Fractional coordinates of all 4 atoms:
Ag  0.500  0.500  0.000
Fe  0.500  0.500  0.500
K  0.000  0.000  0.751
K  0.000  0.000  0.249

---

Computed, not measured: KFe2Ag at its PBEsol-relaxed geometry at the meta-GGA SCAN level of DFT.

Output
DFT formation energy in meV per atom: 534

Cell lengths 2.988, 2.988, 8.159 Å; angles 90.00, 90.00, 90.00 degrees
Fractional coordinates of all 4 atoms:
Ag  0.500  0.500  0.819
Fe  0.000  0.000  0.035
Fe  0.500  0.500  0.159
K  0.000  0.000  0.486

---

Computed, not measured: KFeAg2 at its PBEsol-relaxed geometry at the meta-GGA SCAN level of DFT.

Output
DFT formation energy in meV per atom: 730

Cell lengths 4.759, 4.895, 4.759 Å; angles 119.09, 90.00, 119.09 degrees
Fractional coordinates of all 4 atoms:
Ag  0.750  0.500  0.250
Ag  0.250  0.500  0.750
Fe  0.500  0.000  0.500
K  0.000  0.000  0.000

---

Computed, not measured: K2FeAg at its PBEsol-relaxed geometry at the meta-GGA SCAN level of DFT.

Output
DFT formation energy in meV per atom: 663

Cell lengths 5.278, 5.278, 5.278 Å; angles 60.00, 60.00, 60.00 degrees
Fractional coordinates of all 4 atoms:
Ag  0.500  0.500  0.500
Fe  0.250  0.250  0.250
K  0.000  0.000  0.000
K  0.750  0.750  0.750

---

Computed, not measured: LaFeAg3 at its PBEsol-relaxed geometry at the meta-GGA SCAN level of DFT.

Output
DFT formation energy in meV per atom: 284

Cell lengths 4.815, 4.815, 4.815 Å; angles 90.00, 90.00, 90.00 degrees
Fractional coordinates of all 5 atoms:
Fe  0.000  0.000  0.000
Ag  0.000  0.500  0.000
Ag  0.000  0.000  0.500
Ag  0.500  0.000  0.000
La  0.500  0.500  0.500

---

What are the DFT total energy values for these records? In order: -73.28, -86.96, -63.80, -63.01, -73.82, -86.27, -63.50, -153.92 eV for the cell shown.